Entry 1:
# InOs2Pb (PBE, relaxed)
# **Energy relative to the lowest polymorph listed for this composition**: 50.63 kJ/mol of atoms
data_InOs2Pb
_cell_length_a 4.089
_cell_length_b 4.089
_cell_length_c 8.716
_cell_angle_alpha 90.00
_cell_angle_beta 90.00
_cell_angle_gamma 90.00
_symmetry_space_group_name_H-M 'I -4 m 2'
_symmetry_Int_Tables_number 119
_symmetry_space_group_name_Hall 'I -4 -2'
loop_
_atom_site_label
_atom_site_type_symbol
_atom_site_fract_x
_atom_site_fract_y
_atom_site_fract_z
In1 In 0.000 0.000 0.000
Os1 Os 0.000 0.000 0.500
Os2 Os 0.000 0.500 0.750
Pb1 Pb 0.000 0.500 0.250


Entry 2:
First-principles (PBE) data for K3CdMo after structural relaxation, as listed in the Alexandria database.

Cell and atoms, written as CIF:
```
data_K3CdMo
_cell_length_a 6.880
_cell_length_b 6.880
_cell_length_c 6.880
_cell_angle_alpha 90.00
_cell_angle_beta 90.00
_cell_angle_gamma 90.00
_symmetry_space_group_name_H-M 'P m -3 m'
_symmetry_Int_Tables_number 221
_symmetry_space_group_name_Hall '-P 4 2 3'
loop_
_atom_site_label
_atom_site_type_symbol
_atom_site_fract_x
_atom_site_fract_y
_atom_site_fract_z
K1 K 0.000 0.000 0.500
Cd1 Cd 0.500 0.500 0.500
Mo1 Mo 0.000 0.000 0.000
```


Number 1: DOS at the Fermi energy 4.98 states/eV/f.u., energy of formation 1.021 eV per atom, electronic total energy -49.6 eV/cell. Number 2: DOS at the Fermi energy 5.44 states/eV/f.u., energy of formation 1.125 eV per atom, electronic total energy -9.4 eV/cell.